## CaVNF2 (GGA+U)

Data for a relaxed structure of CaVNF2.

Unit cell a=4.164 b=4.164 c=4.848 alpha=90.00 beta=90.00 gamma=90.00
Element x y z (fractional)
Ca: 0.000 0.000 0.000
V: 0.500 0.500 0.500
N: 0.000 0.000 0.500
F: 0.000 0.500 0.000
F: 0.500 0.000 0.000

Output
**Fermi-level density of states**: 1.3 states/eV/cell
**E_tot**: -0.1958 hartree per atom
**ΔE to the lowest computed polymorph**: 4.39 eV/f.u.
**Symmetry**: No. 123